No. 1
Material: K2AgHgI5
Method: DFT, GGA-PBE
State: relaxed

abc: 4.6847 11.3999 14.7953
angles: 90.00 90.00 101.86
Closest atoms and distances in Å follow each position.
Positions (direct):
I  0.6954  0.3909  0.1549  2 Ag 2.81
I  0.3607  0.7214  0.0091  1 Ag 2.79
I  0.4814  0.9628  0.7693  1 Hg 2.87
I  0.0497  0.0993  0.0274  2 Hg 2.90
I  0.3226  0.6453  0.3206  1 Hg 2.84
I  0.5186  0.0372  0.2693  1 Hg 2.87
I  0.9503  0.9007  0.5274  2 Hg 2.90
I  0.3046  0.6091  0.6549  2 Ag 2.81
I  0.6774  0.3547  0.8206  1 Hg 2.84
I  0.6393  0.2786  0.5091  1 Ag 2.79
Hg  0.4335  0.8670  0.4149  4 I 2.84-2.90
Hg  0.5665  0.1330  0.9149  4 I 2.84-2.90
K  0.1442  0.2883  0.3279  7 I 3.56-3.98
K  0.8558  0.7117  0.8279  7 I 3.56-3.98
K  0.0941  0.1881  0.6747  7 I 3.54-3.88
K  0.9059  0.8119  0.1747  7 I 3.54-3.88
Ag  0.7377  0.4753  0.6252  3 I 2.79-2.81
Ag  0.2623  0.5247  0.1252  3 I 2.79-2.81

- Raw formation energy: -7.20 eV per formula unit
- Magnetization: 0.0 μB/f.u.
- E_tot: -40.588 eV for the cell shown


No. 2
Material: LaAgHg2I
Method: DFT, GGA-PBE
State: relaxed

abc: 5.3124 5.8112 5.3124
angles: 90.00 90.00 90.00
Closest atoms and distances in Å follow each position.
Positions (direct):
I  0.5000  0.5000  0.5000  4 La 3.76, 8 Hg 3.94
Hg  0.5000  0.0000  0.0000  2 Ag 2.66
Hg  0.0000  0.0000  0.5000  2 Ag 2.66
La  0.0000  0.5000  0.0000  2 Ag 2.91
Ag  0.0000  0.0000  0.0000  4 Hg 2.66, 2 La 2.91

- Raw formation energy: -1.17 eV per formula unit
- Magnetization: 0.0 μB/f.u.
- E_tot: -11.104 eV for the cell shown